Cs3Ag2PbCl8 GGA-PBE optimized geometry; formation energy from raw total energies = -1240.4 meV per atom; total DFT energy (no corrections) = -44.11 eV for the cell shown
1.0
7.623 0.000 0.000
-3.811 6.601 0.000
0.000 0.000 10.123
Cs Ag Pb Cl
3 2 1 8
direct
0.000 0.000 0.000
0.333 0.667 0.630
0.667 0.333 0.370
0.333 0.667 0.194
0.667 0.333 0.806
0.000 0.000 0.500
0.169 0.337 0.336
0.169 0.831 0.336
0.333 0.667 0.956
0.337 0.169 0.664
0.663 0.831 0.336
0.667 0.333 0.044
0.831 0.169 0.664
0.831 0.663 0.664